a) Density functional theory data (GGA-PBE) for a relaxed Ca2TlMo crystal.

Values from the calculation:
* symmetry: Pmmm, No. 47
* density of states at the Fermi level: 0.79 states/eV/atom

Unit cell a=3.7684 b=3.8244 c=7.4075 alpha=90.00 beta=90.00 gamma=90.00
Site moments in Bohr magnetons follow the coordinates.
Positions (direct):
Tl 0.5000 0.5000 0.7500  0.00
Ca 0.0000 0.0000 0.0138  0.04
Ca 0.0000 0.0000 0.4862  0.04
Mo 0.5000 0.5000 0.2500  2.35

---

b) Density functional theory data (GGA-PBE) for a relaxed Ca2TlMo crystal.

Values from the calculation:
* symmetry: Pmmm, No. 47
* density of states at the Fermi level: 1.16 states/eV/atom

Unit cell a=4.7042 b=3.2263 c=7.2940 alpha=63.72 beta=90.00 gamma=90.00
Site moments in Bohr magnetons follow the coordinates.
Positions (direct):
Tl 0.5000 0.7500 0.7500  0.00
Ca 0.0000 0.9887 0.0113  0.00
Ca 0.0000 0.5113 0.4887  0.00
Mo 0.5000 0.2500 0.2500  0.58

---

c) Density functional theory data (GGA-PBE) for a relaxed Ca2TlMo crystal.

Values from the calculation:
* symmetry: Cmm2, No. 35
* density of states at the Fermi level: 0.79 states/eV/atom

Unit cell a=3.2272 b=3.2272 c=10.1320 alpha=90.00 beta=90.00 gamma=98.11
Positions (direct):
Tl 0.5000 0.5000 0.7216
Ca 0.0000 0.0000 0.9627
Ca 0.5000 0.5000 0.2943
Mo 0.0000 0.0000 0.5213

---

d) Density functional theory data (GGA-PBE) for a relaxed Ca2TlMo crystal.

Values from the calculation:
* symmetry: Imm2, No. 44
* density of states at the Fermi level: 0.90 states/eV/atom

Unit cell a=6.2975 b=6.2975 c=6.2975 alpha=145.07 beta=130.95 gamma=61.63
Site moments in Bohr magnetons follow the coordinates.
Positions (direct):
Tl 0.2765 0.7765 0.5000  -0.03
Ca 0.0183 0.0183 0.0000  0.00
Ca 0.7314 0.2314 0.5000  -0.01
Mo 0.4738 0.4738 0.0000  1.79

---

Stability verdict: d), ahead by 0.010 eV/atom

---

a) Density functional theory data (GGA-PBE) for a relaxed Ca2TlMo crystal.

Values from the calculation:
* symmetry: P4mm, No. 99
* density of states at the Fermi level: 1.37 states/eV/atom

Unit cell a=3.7022 b=3.7108 c=8.1448 alpha=90.00 beta=90.00 gamma=90.00
Site moments in Bohr magnetons follow the coordinates.
Positions (direct):
Tl 0.5000 0.5000 0.6953  0.00
Ca 0.0000 0.0000 0.9383  0.01
Ca 0.5000 0.5000 0.3132  0.01
Mo 0.0000 0.0000 0.5532  0.48

---

b) Density functional theory data (GGA-PBE) for a relaxed Ca2TlMo crystal.

Values from the calculation:
* symmetry: Cm, No. 8
* density of states at the Fermi level: 1.00 states/eV/atom

Unit cell a=6.1015 b=6.1015 c=5.6808 alpha=73.66 beta=73.66 gamma=30.70
Positions (direct):
Tl 0.2182 0.2182 0.2241
Ca 0.9755 0.9755 0.0595
Ca 0.7766 0.7766 0.6852
Mo 0.5297 0.5297 0.5312

---

Stability verdict: b), ahead by 0.020 eV/atom

---

a) Density functional theory data (GGA-PBE) for a relaxed CaTlMo2 crystal.

Values from the calculation:
* symmetry: I4/mmm, No. 139
* density of states at the Fermi level: 0.97 states/eV/atom

Unit cell a=5.6319 b=5.6319 c=5.6319 alpha=137.50 beta=137.50 gamma=61.66
Positions (direct):
Tl 0.2500 0.7500 0.5000
Ca 0.7500 0.2500 0.5000
Mo 0.0000 0.0000 0.0000
Mo 0.5000 0.5000 0.0000

---

b) Density functional theory data (GGA-PBE) for a relaxed CaTlMo2 crystal.

Values from the calculation:
* symmetry: Pm, No. 6
* density of states at the Fermi level: 0.86 states/eV/atom

Unit cell a=3.3202 b=3.3355 c=8.4261 alpha=66.66 beta=90.00 gamma=90.00
Positions (direct):
Mo 0.0000 0.9420 0.0557
Mo 0.5000 0.2940 0.2086
Tl 0.0000 0.5357 0.4645
Ca 0.5000 0.7283 0.7712

---

c) Density functional theory data (GGA-PBE) for a relaxed CaTlMo2 crystal.

Values from the calculation:
* symmetry: Pmmm, No. 47
* density of states at the Fermi level: 0.70 states/eV/atom

Unit cell a=2.8508 b=5.0597 c=5.8545 alpha=90.00 beta=90.00 gamma=90.00
Positions (direct):
Tl 0.5000 0.5000 0.2500
Ca 0.5000 0.5000 0.7500
Mo 0.0000 0.0000 0.9613
Mo 0.0000 0.0000 0.5387

---

Stability verdict: b), ahead by 0.473 eV/atom

---

a) Density functional theory data (GGA-PBE) for a relaxed CaTlMo2 crystal.

Values from the calculation:
* symmetry: P4/mmm, No. 123
* density of states at the Fermi level: 0.95 states/eV/atom

Unit cell a=4.8065 b=4.0699 c=4.0699 alpha=90.00 beta=90.00 gamma=90.00
Positions (direct):
Tl 0.5000 0.5000 0.0000
Ca 0.5000 0.0000 0.5000
Mo 0.0000 0.0000 0.0000
Mo 0.0000 0.5000 0.5000

---

b) Density functional theory data (GGA-PBE) for a relaxed CaTlMo2 crystal.

Values from the calculation:
* symmetry: F-43m, No. 216
* density of states at the Fermi level: 1.22 states/eV/atom

Unit cell a=4.8104 b=4.8104 c=4.8104 alpha=60.00 beta=60.00 gamma=60.00
Positions (direct):
Tl 0.7500 0.7500 0.7500
Ca 0.5000 0.5000 0.5000
Mo 0.0000 0.0000 0.0000
Mo 0.2500 0.2500 0.2500

---

c) Density functional theory data (GGA-PBE) for a relaxed CaTlMo2 crystal.

Values from the calculation:
* symmetry: P2/m, No. 10
* density of states at the Fermi level: 0.73 states/eV/atom

Unit cell a=5.2054 b=2.9718 c=5.4041 alpha=86.01 beta=90.00 gamma=90.00
Positions (direct):
Tl 0.5000 0.2500 0.2500
Ca 0.5000 0.7500 0.7500
Mo 0.0000 0.0992 0.9644
Mo 0.0000 0.4008 0.5356

---

Stability verdict: b), ahead by 0.048 eV/atom

---

a) Density functional theory data (GGA-PBE) for a relaxed CaTlMo2 crystal.

Values from the calculation:
* symmetry: I-42d, No. 122
* density of states at the Fermi level: 1.14 states/eV/atom

Unit cell a=8.1199 b=8.1199 c=6.3590 alpha=50.32 beta=50.32 gamma=90.00
Positions (direct):
Tl 0.0000 0.0000 0.0000
Tl 0.7500 0.2500 0.5000
Ca 0.5000 0.5000 0.0000
Ca 0.2500 0.7500 0.5000
Mo 0.6585 0.1250 0.2500
Mo 0.0915 0.6250 0.2500
Mo 0.3750 0.3415 0.7500
Mo 0.8750 0.9085 0.7500

---

b) Density functional theory data (GGA-PBE) for a relaxed CaTlMo2 crystal.

Values from the calculation:
* symmetry: Cmmm, No. 65
* density of states at the Fermi level: 0.81 states/eV/atom

Unit cell a=2.8908 b=2.8908 c=9.8948 alpha=90.00 beta=90.00 gamma=102.30
Positions (direct):
Tl 0.5000 0.5000 0.2500
Ca 0.5000 0.5000 0.7500
Mo 0.0000 0.0000 0.0140
Mo 0.0000 0.0000 0.4860

---

Stability verdict: b), ahead by 0.356 eV/atom

---

a) Density functional theory data (GGA-PBE) for a relaxed CaTlMo crystal.

Values from the calculation:
* symmetry: F-43m, No. 216
* density of states at the Fermi level: 0.30 states/eV/atom

Unit cell a=4.9076 b=4.9076 c=4.9076 alpha=60.00 beta=60.00 gamma=60.00
Site moments in Bohr magnetons follow the coordinates.
Positions (direct):
Tl 0.0000 0.0000 0.0000  -0.11
Ca 0.5000 0.5000 0.5000  0.10
Mo 0.7500 0.7500 0.7500  2.59

---

b) Density functional theory data (GGA-PBE) for a relaxed CaTlMo crystal.

Values from the calculation:
* symmetry: P3m1, No. 156
* density of states at the Fermi level: 0.73 states/eV/atom

Unit cell a=3.2400 b=3.2400 c=7.5918 alpha=90.00 beta=90.00 gamma=120.00
Positions (direct):
Tl 0.3333 0.6667 0.6461
Ca 0.0000 0.0000 0.0149
Mo 0.6667 0.3333 0.3391

---

Stability verdict: b), ahead by 0.236 eV/atom